No. 1
Below is YV2Ir after structural relaxation, with properties calculated at the PBE-GGA level.

Values from the calculation:
Crystal system: tetragonal
Fermi-level density of states in states/eV per cell: 11.35
E_form in eV per atom: 0.2371

Geometry as extended XYZ:
```
8
Lattice="-0.218 5.748 4.738 -6.882 -1.969 2.072 -2.478 0.267 5.422" Properties=species:S:1:pos:R:3 pbc="T T T"
Y -3.550 1.889 3.405
Y -6.455 0.094 5.450
Ir 0.000 0.000 0.000
Ir -3.123 3.952 6.782
V -1.630 3.768 4.868
V -4.934 -0.800 2.950
V -4.096 1.739 6.492
V -8.496 3.385 10.153
```

No. 2
Below is PrAu12 after structural relaxation, with properties calculated at the PBE-GGA level.

Values from the calculation:
Crystal system: cubic
Fermi-level density of states in states/eV per cell: 9.98
E_form in eV per atom: 0.4402

Geometry as extended XYZ:
```
13
Lattice="-5.101 -1.641 6.030 0.595 -6.980 3.999 2.650 -0.070 7.619" Properties=species:S:1:pos:R:3 pbc="T T T"
Pr 0.000 0.000 0.000
Au -2.659 -4.903 10.870
Au 0.803 -3.789 6.778
Au 1.005 -6.157 8.135
Au -1.827 -4.322 6.239
Au -0.231 -2.001 10.052
Au -1.625 -6.691 7.596
Au 1.702 -3.813 9.363
Au -1.130 -1.977 7.467
Au -0.029 -4.370 11.409
Au -3.558 -4.879 8.285
Au -0.726 -6.714 10.181
Au -2.861 -2.534 9.513
```

No. 3
Below is Eu2HoAg after structural relaxation, with properties calculated at the PBE-GGA level.

Values from the calculation:
Crystal system: tetragonal
Fermi-level density of states in states/eV per cell: 5.28
E_form in eV per atom: 0.0559

Geometry as extended XYZ:
```
4
Lattice="-4.559 -2.454 -0.442 2.011 -4.043 1.714 -1.153 1.333 4.497" Properties=species:S:1:pos:R:3 pbc="T T T"
Eu -0.576 0.666 2.248
Eu 1.005 -2.022 0.857
Ho -1.850 -2.582 2.885
Ag -2.279 -1.227 -0.221
```

No. 4
Below is Ba3SnP4 after structural relaxation, with properties calculated at the PBE-GGA level.

Values from the calculation:
Crystal system: orthorhombic
E_form in eV per atom: -0.8033

Geometry as extended XYZ:
```
32
Lattice="8.729 0.000 0.000 0.000 10.169 0.000 0.000 0.000 10.972" Properties=species:S:1:pos:R:3 pbc="T T T"
P 1.001 9.846 5.862
P 5.366 5.407 10.596
P 7.727 0.323 0.376
P 3.363 4.762 5.110
P 7.727 0.323 5.110
P 3.363 4.762 0.376
P 1.001 9.846 10.596
P 5.366 5.407 5.862
P 2.694 2.844 8.229
P 7.059 2.240 8.229
P 6.034 7.325 2.743
P 1.670 7.929 2.743
P 4.080 9.195 8.229
P 8.445 6.059 8.229
P 4.648 0.974 2.743
P 0.284 4.110 2.743
Ba 2.951 5.990 8.229
Ba 7.316 9.263 8.229
Ba 5.777 4.179 2.743
Ba 1.413 0.906 2.743
Ba 3.911 8.245 0.549
Ba 8.275 7.008 4.937
Ba 4.817 1.924 6.035
Ba 0.453 3.161 10.423
Ba 4.817 1.924 10.423
Ba 0.453 3.161 6.035
Ba 3.911 8.245 4.937
Ba 8.275 7.008 0.549
Sn 2.019 0.445 8.229
Sn 6.383 4.640 8.229
Sn 6.710 9.724 2.743
Sn 2.346 5.529 2.743
```

No. 5
Below is ZrCu2Ru after structural relaxation, with properties calculated at the PBE-GGA level.

Values from the calculation:
Crystal system: cubic
Fermi-level density of states in states/eV per cell: 0.51
E_form in eV per atom: -0.0556

Geometry as extended XYZ:
```
4
Lattice="4.419 0.000 0.000 2.209 3.827 0.000 2.209 1.276 3.608" Properties=species:S:1:pos:R:3 pbc="T T T"
Cu 0.000 0.000 0.000
Cu 2.209 1.276 0.902
Ru 4.419 2.551 1.804
Zr 6.628 3.827 2.706
```

No. 6
Below is TbTm4S5 after structural relaxation, with properties calculated at the PBE-GGA level.

Values from the calculation:
Crystal system: orthorhombic
Fermi-level density of states in states/eV per cell: 4.29
Formation energy (no corrections) in eV/atom: -1.9400

Geometry as extended XYZ:
```
10
Lattice="3.792 0.000 -0.732 -0.281 5.243 -1.455 0.004 0.004 10.212" Properties=species:S:1:pos:R:3 pbc="T T T"
Tb 0.000 0.000 0.000
Tm 1.409 2.103 7.303
Tm 2.807 4.191 4.358
Tm 0.707 1.056 3.667
Tm 2.106 3.144 0.723
S 2.258 0.540 1.510
S 2.954 1.578 5.116
S 0.561 3.669 2.910
S -0.140 2.621 -0.728
S 1.257 4.707 6.515
```

No. 7
Below is Ce2MgCd16 after structural relaxation, with properties calculated at the PBE-GGA level.

Values from the calculation:
Crystal system: trigonal
Fermi-level density of states in states/eV per cell: 19.48
E_form in eV per atom: -0.1269

Geometry as extended XYZ:
```
19
Lattice="7.620 0.096 0.966 0.863 7.571 0.966 0.106 0.096 7.680" Properties=species:S:1:pos:R:3 pbc="T T T"
Ce 5.726 5.175 6.407
Ce 2.868 2.592 3.210
Mg 7.770 7.023 8.696
Cd 6.235 7.664 3.927
Cd 7.948 2.416 6.636
Cd 2.978 5.431 8.642
Cd 8.254 5.431 3.927
Cd 5.703 2.416 8.642
Cd 3.204 7.664 6.636
Cd 3.505 6.403 3.922
Cd 6.724 2.842 3.922
Cd 3.144 2.842 7.121
Cd 5.088 1.300 5.694
Cd 1.806 4.931 5.694
Cd 5.456 4.931 2.433
Cd 8.141 3.997 9.110
Cd 4.797 7.697 9.110
Cd 8.516 7.697 5.787
Cd 0.909 0.821 1.017
```

No. 8
Below is HoZn6Au3 after structural relaxation, with properties calculated at the PBE-GGA level.

Values from the calculation:
Crystal system: monoclinic
Fermi-level density of states in states/eV per cell: 7.43
E_form in eV per atom: -0.2664

Geometry as extended XYZ:
```
20
Lattice="4.002 0.000 0.000 0.000 8.447 -2.121 0.000 0.063 10.840" Properties=species:S:1:pos:R:3 pbc="T T T"
Ho 3.002 8.401 6.156
Ho 1.001 0.109 2.563
Zn 3.002 3.512 5.572
Zn 1.001 4.998 3.146
Zn 3.002 6.627 -0.932
Zn 1.001 1.883 9.651
Zn 3.002 3.742 -0.119
Zn 1.001 4.767 8.838
Zn 3.002 6.742 1.990
Zn 1.001 1.768 6.728
Zn 3.002 0.837 4.842
Zn 1.001 7.673 3.877
Zn 3.002 5.626 7.245
Zn 1.001 2.884 1.473
Au 3.002 3.026 8.159
Au 1.001 5.484 0.559
Au 3.002 5.928 4.607
Au 1.001 2.582 4.112
Au 3.002 1.061 0.563
Au 1.001 7.449 8.155
```